(1)
Below is a relaxed structure of PuThCuHg, with properties calculated at the PBE level.

ΔH_f (0 K) in meV/atom: 10
Volume in Å³ per cell: 401.1

Cell and atoms, written as CIF:
```
data_PuThCuHg
_chemical_formula_sum 'Pu4 Th4 Cu4 Hg4'
_space_group_name_H-M_alt 'F -4 3 m'
_space_group_IT_number 216
_space_group_name_Hall 'F -4 2 3'
_cell_length_a 7.3751
_cell_length_b 7.3751
_cell_length_c 7.3751
_cell_angle_alpha 90.00
_cell_angle_beta 90.00
_cell_angle_gamma 90.00
loop_
_atom_site_label
_atom_site_type_symbol
_atom_site_fract_x
_atom_site_fract_y
_atom_site_fract_z
_atom_site_occupancy
Pu1 Pu 0.0000 0.0000 0.0000 1
Th1 Th 0.0000 0.0000 0.5000 1
Cu1 Cu 0.2500 0.2500 0.2500 1
Hg1 Hg 0.2500 0.2500 0.7500 1
```

(2)
Below is a relaxed structure of PuZnCuHg, with properties calculated at the PBE level.

ΔH_f (0 K) in meV/atom: 85
Volume in Å³ per cell: 329.5

Cell and atoms, written as CIF:
```
data_PuZnCuHg
_chemical_formula_sum 'Pu4 Zn4 Cu4 Hg4'
_space_group_name_H-M_alt 'F -4 3 m'
_space_group_IT_number 216
_space_group_name_Hall 'F -4 2 3'
_cell_length_a 6.9068
_cell_length_b 6.9068
_cell_length_c 6.9068
_cell_angle_alpha 90.00
_cell_angle_beta 90.00
_cell_angle_gamma 90.00
loop_
_atom_site_label
_atom_site_type_symbol
_atom_site_fract_x
_atom_site_fract_y
_atom_site_fract_z
_atom_site_occupancy
Pu1 Pu 0.0000 0.0000 0.0000 1
Zn1 Zn 0.0000 0.0000 0.5000 1
Cu1 Cu 0.2500 0.2500 0.7500 1
Hg1 Hg 0.2500 0.2500 0.2500 1
```

(3)
Below is a relaxed structure of RbCu3Hg, with properties calculated at the PBE level.

Energy above the most stable polymorph in this dataset in kJ per mole of atoms: 104.5
ΔH_f (0 K) in meV/atom: 1596
Volume in Å³ per cell: 196.6

Cell and atoms, written as CIF:
```
data_RbCu3Hg
_chemical_formula_sum 'Rb1 Cu3 Hg1'
_space_group_name_H-M_alt 'P m -3 m'
_space_group_IT_number 221
_space_group_name_Hall '-P 4 2 3'
_cell_length_a 5.8146
_cell_length_b 5.8146
_cell_length_c 5.8146
_cell_angle_alpha 90.00
_cell_angle_beta 90.00
_cell_angle_gamma 90.00
loop_
_atom_site_label
_atom_site_type_symbol
_atom_site_fract_x
_atom_site_fract_y
_atom_site_fract_z
_atom_site_occupancy
Rb1 Rb 0.0000 0.0000 0.0000 1
Cu1 Cu 0.0000 0.0000 0.5000 1
Hg1 Hg 0.5000 0.5000 0.5000 1
```

(4)
Below is a relaxed structure of Rb3CuHg, with properties calculated at the PBE level.

Energy above the most stable polymorph in this dataset in kJ per mole of atoms: 0.0
ΔH_f (0 K) in meV/atom: 214
Volume in Å³ per cell: 292.5

Cell and atoms, written as CIF:
```
data_Rb3CuHg
_chemical_formula_sum 'Rb3 Cu1 Hg1'
_space_group_name_H-M_alt 'P m -3 m'
_space_group_IT_number 221
_space_group_name_Hall '-P 4 2 3'
_cell_length_a 6.6384
_cell_length_b 6.6384
_cell_length_c 6.6384
_cell_angle_alpha 90.00
_cell_angle_beta 90.00
_cell_angle_gamma 90.00
loop_
_atom_site_label
_atom_site_type_symbol
_atom_site_fract_x
_atom_site_fract_y
_atom_site_fract_z
_atom_site_occupancy
Rb1 Rb 0.0000 0.0000 0.5000 1
Cu1 Cu 0.0000 0.0000 0.0000 1
Hg1 Hg 0.5000 0.5000 0.5000 1
```

(5)
Below is a relaxed structure of Rb2CuHg4, with properties calculated at the PBE level.

ΔH_f (0 K) in meV/atom: -105
Volume in Å³ per cell: 512.9

Cell and atoms, written as CIF:
```
data_Rb2CuHg4
_chemical_formula_sum 'Rb4 Cu2 Hg8'
_space_group_name_H-M_alt 'I 4/m m m'
_space_group_IT_number 139
_space_group_name_Hall '-I 4 2'
_cell_length_a 5.2721
_cell_length_b 5.2721
_cell_length_c 18.4533
_cell_angle_alpha 90.00
_cell_angle_beta 90.00
_cell_angle_gamma 90.00
loop_
_atom_site_label
_atom_site_type_symbol
_atom_site_fract_x
_atom_site_fract_y
_atom_site_fract_z
_atom_site_occupancy
Rb1 Rb 0.0000 0.0000 0.1495 1
Cu1 Cu 0.0000 0.0000 0.5000 1
Hg1 Hg 0.0000 0.0000 0.3541 1
Hg2 Hg 0.0000 0.5000 0.0000 1
```

(6)
Below is a relaxed structure of RbCu2Hg2, with properties calculated at the PBE level.

Energy above the most stable polymorph in this dataset in kJ per mole of atoms: 1.4
ΔH_f (0 K) in meV/atom: 136
Volume in Å³ per cell: 257.3

Cell and atoms, written as CIF:
```
data_RbCu2Hg2
_chemical_formula_sum 'Rb2 Cu4 Hg4'
_space_group_name_H-M_alt 'I 4/m m m'
_space_group_IT_number 139
_space_group_name_Hall '-I 4 2'
_cell_length_a 4.8742
_cell_length_b 4.8742
_cell_length_c 10.8283
_cell_angle_alpha 90.00
_cell_angle_beta 90.00
_cell_angle_gamma 90.00
loop_
_atom_site_label
_atom_site_type_symbol
_atom_site_fract_x
_atom_site_fract_y
_atom_site_fract_z
_atom_site_occupancy
Rb1 Rb 0.0000 0.0000 0.0000 1
Cu1 Cu 0.0000 0.5000 0.2500 1
Hg1 Hg 0.0000 0.0000 0.3546 1
```

(7)
Below is a relaxed structure of RbCuHg2, with properties calculated at the PBE level.

Energy above the most stable polymorph in this dataset in kJ per mole of atoms: 15.6
ΔH_f (0 K) in meV/atom: 189
Volume in Å³ per cell: 474.0

Cell and atoms, written as CIF:
```
data_RbCuHg2
_chemical_formula_sum 'Rb4 Cu4 Hg8'
_space_group_name_H-M_alt 'F m -3 m'
_space_group_IT_number 225
_space_group_name_Hall '-F 4 2 3'
_cell_length_a 7.7970
_cell_length_b 7.7970
_cell_length_c 7.7970
_cell_angle_alpha 90.00
_cell_angle_beta 90.00
_cell_angle_gamma 90.00
loop_
_atom_site_label
_atom_site_type_symbol
_atom_site_fract_x
_atom_site_fract_y
_atom_site_fract_z
_atom_site_occupancy
Rb1 Rb 0.0000 0.0000 0.0000 1
Cu1 Cu 0.0000 0.0000 0.5000 1
Hg1 Hg 0.2500 0.2500 0.2500 1
```

(8)
Below is a relaxed structure of RbCuHg2, with properties calculated at the PBE level.

Energy above the most stable polymorph in this dataset in kJ per mole of atoms: 0.0
ΔH_f (0 K) in meV/atom: 28
Volume in Å³ per cell: 617.9

Cell and atoms, written as CIF:
```
data_RbCuHg2
_chemical_formula_sum 'Rb4 Cu4 Hg8'
_space_group_name_H-M_alt 'I -4 2 d'
_space_group_IT_number 122
_space_group_name_Hall 'I -4 2bw'
_cell_length_a 6.0560
_cell_length_b 6.0560
_cell_length_c 16.8465
_cell_angle_alpha 90.00
_cell_angle_beta 90.00
_cell_angle_gamma 90.00
loop_
_atom_site_label
_atom_site_type_symbol
_atom_site_fract_x
_atom_site_fract_y
_atom_site_fract_z
_atom_site_occupancy
Rb1 Rb 0.0000 0.0000 0.0000 1
Cu1 Cu 0.0000 0.0000 0.5000 1
Hg1 Hg 0.0132 0.2500 0.6250 1
```

What ρ values result from the calculations? In sequence: 12.3, 11.6, 4.0, 3.0, 6.7, 7.9, 7.7, 5.9 g/cm3.